A plane-wave DFT calculation with PBE-GGA was carried out for crystalline YMgCl2 at its relaxed geometry.

Lattice parameters (Å, degrees): 7.568 7.568 7.568 154.42 144.06 44.63
Fractional coordinates of all 4 atoms:
Cl 0.072 0.072 0.000
Cl 0.753 0.253 0.500
Mg 0.441 0.441 0.000
Y 0.234 0.734 0.500

Values from the calculation:
Formation energy without anion corrections, eV per atom: -1.131
Polymorph energy (0 for the lowest one), kJ/mol of atoms: 12.1
Magnetic moment, Bohr magnetons per cell: 0.00
Calculated total energy, eV per atom: -4.069

A plane-wave DFT calculation with PBE-GGA was carried out for crystalline Ru2RhW at its relaxed geometry.

Lattice parameters (Å, degrees): 3.878 3.878 3.838 90.00 90.00 90.00
Fractional coordinates of all 4 atoms:
Ru 0.000 0.000 0.000
Ru 0.500 0.500 0.000
Rh 0.000 0.500 0.500
W 0.500 0.000 0.500

Values from the calculation:
Polymorph energy (0 for the lowest one), kJ/mol of atoms: 0.0
Formation enthalpy at 0 K, eV per atom: -0.117
Magnetic moment, Bohr magnetons per cell: 0.00
Calculated total energy, eV per atom: -9.831

A plane-wave DFT calculation with PBE-GGA was carried out for crystalline CaCuRh2 at its relaxed geometry.

Lattice parameters (Å, degrees): 5.378 5.378 4.821 63.91 63.91 31.46
Fractional coordinates of all 4 atoms:
Ca 0.502 0.502 0.561
Rh 0.998 0.998 0.082
Rh 0.267 0.267 0.155
Cu 0.734 0.734 0.702

Values from the calculation:
Polymorph energy (0 for the lowest one), kJ/mol of atoms: 0.0
Formation enthalpy at 0 K, eV per atom: -0.043
Magnetic moment, Bohr magnetons per cell: 0.00
Calculated total energy, eV per atom: -5.243

A plane-wave DFT calculation with PBE-GGA was carried out for crystalline AcTb7Pm2 at its relaxed geometry.

Lattice parameters (Å, degrees): 5.682 9.220 9.220 123.10 90.00 90.00
Fractional coordinates of all 10 atoms:
Ac 0.000 0.000 0.000
Tb 0.000 0.773 0.227
Tb 0.000 0.227 0.773
Tb 0.500 0.061 0.296
Tb 0.500 0.939 0.704
Tb 0.500 0.296 0.061
Tb 0.500 0.704 0.939
Tb 0.500 0.500 0.500
Pm 0.500 0.702 0.298
Pm 0.500 0.298 0.702

Values from the calculation:
Polymorph energy (0 for the lowest one), kJ/mol of atoms: 23.0
Formation enthalpy at 0 K, eV per atom: 0.659
Magnetic moment, Bohr magnetons per cell: 0.00
Calculated total energy, eV per atom: -3.944

A plane-wave DFT calculation with PBE-GGA was carried out for crystalline MgMn2Cl at its relaxed geometry.

Lattice parameters (Å, degrees): 4.247 4.247 4.247 60.00 60.00 60.00
Fractional coordinates of all 4 atoms:
Mg 0.000 0.000 0.000
Mn 0.250 0.250 0.250
Mn 0.750 0.750 0.750
Cl 0.500 0.500 0.500

Values from the calculation:
Formation energy without anion corrections, eV per atom: 1.200
Polymorph energy (0 for the lowest one), kJ/mol of atoms: 127.7
Magnetic moment, Bohr magnetons per cell: 0.00
Calculated total energy, eV per atom: -4.245

A plane-wave DFT calculation with PBE-GGA was carried out for crystalline Tm5In2Rh2Au at its relaxed geometry.

Lattice parameters (Å, degrees): 3.578 11.535 11.535 90.00 90.00 90.00
Fractional coordinates of all 20 atoms:
Tm 0.500 0.200 0.075
Tm 0.500 0.800 0.925
Tm 0.500 0.075 0.800
Tm 0.500 0.700 0.425
Tm 0.500 0.925 0.200
Tm 0.500 0.300 0.575
Tm 0.500 0.575 0.700
Tm 0.500 0.425 0.300
Tm 0.500 0.500 0.000
Tm 0.500 0.000 0.500
In 0.000 0.673 0.173
In 0.000 0.327 0.827
In 0.000 0.173 0.327
In 0.000 0.827 0.673
Rh 0.000 0.134 0.634
Rh 0.000 0.866 0.366
Rh 0.000 0.634 0.866
Rh 0.000 0.366 0.134
Au 0.000 0.000 0.000
Au 0.000 0.500 0.500

Values from the calculation:
Formation enthalpy at 0 K, eV per atom: -0.709
Magnetic moment, Bohr magnetons per cell: 0.00
Calculated total energy, eV per atom: -5.291

A plane-wave DFT calculation with PBE-GGA was carried out for crystalline VFeH3 at its relaxed geometry.

Lattice parameters (Å, degrees): 5.523 5.605 4.455 90.00 90.00 119.51
Fractional coordinates of all 20 atoms:
V 0.423 0.845 0.250
V 0.577 0.155 0.750
V 0.077 0.155 0.750
V 0.923 0.845 0.250
Fe 0.583 0.665 0.761
Fe 0.417 0.335 0.239
Fe 0.917 0.335 0.261
Fe 0.083 0.665 0.739
H 0.725 0.951 0.971
H 0.275 0.049 0.029
H 0.775 0.049 0.471
H 0.225 0.951 0.529
H 0.307 0.500 0.000
H 0.693 0.500 0.000
H 0.193 0.500 0.500
H 0.807 0.500 0.500
H 0.077 0.654 0.111
H 0.923 0.346 0.889
H 0.423 0.346 0.611
H 0.577 0.654 0.389

Values from the calculation:
Magnetic moment, Bohr magnetons per cell: 0.00
Calculated total energy, eV per atom: -5.587

A plane-wave DFT calculation with PBE-GGA was carried out for crystalline SiGeOs2 at its relaxed geometry.

Lattice parameters (Å, degrees): 3.003 3.003 6.047 90.00 90.00 90.00
Fractional coordinates of all 4 atoms:
Ge 0.500 0.500 0.500
Os 0.000 0.000 0.760
Os 0.000 0.000 0.240
Si 0.500 0.500 0.000

Values from the calculation:
Formation energy without anion corrections, eV per atom: -0.083
Polymorph energy (0 for the lowest one), kJ/mol of atoms: 0.0
Magnetic moment, Bohr magnetons per cell: 0.00
Calculated total energy, eV per atom: -8.208

A plane-wave DFT calculation with PBE-GGA was carried out for crystalline Ac3La4 at its relaxed geometry.

Lattice parameters (Å, degrees): 5.439 8.636 6.645 97.76 114.16 90.00
Fractional coordinates of all 7 atoms:
Ac 0.000 0.000 0.000
Ac 0.574 0.714 0.147
Ac 0.426 0.286 0.853
La 0.856 0.569 0.711
La 0.144 0.431 0.289
La 0.714 0.146 0.428
La 0.286 0.854 0.572

Values from the calculation:
Polymorph energy (0 for the lowest one), kJ/mol of atoms: 0.0
Formation enthalpy at 0 K, eV per atom: 0.020
Magnetic moment, Bohr magnetons per cell: 0.00
Calculated total energy, eV per atom: -4.556

A plane-wave DFT calculation with PBE-GGA was carried out for crystalline SrHgOs at its relaxed geometry.

Lattice parameters (Å, degrees): 5.981 5.981 5.981 144.27 144.30 51.40
Fractional coordinates of all 3 atoms:
Hg 0.957 0.957 0.000
Os 0.372 0.372 0.000
Sr 0.670 0.670 0.000

Values from the calculation:
Polymorph energy (0 for the lowest one), kJ/mol of atoms: 0.0
Formation enthalpy at 0 K, eV per atom: 0.617
Magnetic moment, Bohr magnetons per cell: 0.00
Calculated total energy, eV per atom: -3.788

A plane-wave DFT calculation with PBE-GGA was carried out for crystalline Tb6YTl2 at its relaxed geometry.

Lattice parameters (Å, degrees): 3.756 6.707 11.820 74.58 80.86 73.74
Fractional coordinates of all 9 atoms:
Tb 0.686 0.504 0.124
Tb 0.314 0.496 0.876
Tb 0.309 0.796 0.585
Tb 0.987 0.682 0.344
Tb 0.013 0.318 0.656
Tb 0.691 0.204 0.415
Y 0.000 0.000 0.000
Tl 0.361 0.072 0.205
Tl 0.639 0.928 0.795

Values from the calculation:
Formation enthalpy at 0 K, eV per atom: -0.156
Magnetic moment, Bohr magnetons per cell: 0.00
Calculated total energy, eV per atom: -4.487

A plane-wave DFT calculation with PBE-GGA was carried out for crystalline Pm5Sn2Te2 at its relaxed geometry.

Lattice parameters (Å, degrees): 8.332 8.274 8.933 117.59 90.00 90.00
Fractional coordinates of all 18 atoms:
Pm 0.000 0.000 0.000
Pm 0.500 0.500 0.000
Pm 0.835 0.803 0.270
Pm 0.165 0.467 0.270
Pm 0.335 0.967 0.270
Pm 0.665 0.303 0.270
Pm 0.165 0.197 0.730
Pm 0.835 0.533 0.730
Pm 0.665 0.033 0.730
Pm 0.335 0.697 0.730
Sn 0.632 0.867 0.000
Sn 0.368 0.133 0.000
Sn 0.132 0.633 0.000
Sn 0.868 0.367 0.000
Te 0.000 0.202 0.403
Te 0.500 0.702 0.403
Te 0.000 0.798 0.597
Te 0.500 0.298 0.597

Values from the calculation:
Formation energy without anion corrections, eV per atom: -1.050
Magnetic moment, Bohr magnetons per cell: 0.00
Calculated total energy, eV per atom: -5.277

A plane-wave DFT calculation with PBE-GGA was carried out for crystalline Ta3BeOs at its relaxed geometry.

Lattice parameters (Å, degrees): 4.828 4.828 4.828 90.00 90.00 90.00
Fractional coordinates of all 5 atoms:
Be 0.500 0.500 0.500
Os 0.000 0.000 0.000
Ta 0.000 0.500 0.000
Ta 0.000 0.000 0.500
Ta 0.500 0.000 0.000

Values from the calculation:
Polymorph energy (0 for the lowest one), kJ/mol of atoms: 133.1
Formation enthalpy at 0 K, eV per atom: 1.473
Magnetic moment, Bohr magnetons per cell: 0.00
Calculated total energy, eV per atom: -8.630

A plane-wave DFT calculation with PBE-GGA was carried out for crystalline NdSi2Ni6 at its relaxed geometry.

Lattice parameters (Å, degrees): 4.026 4.026 7.586 90.00 90.00 90.00
Site moments in Bohr magnetons follow the coordinates.
Fractional coordinates of all 9 atoms:
Nd 0.000 0.000 0.000  0.01
Si 0.500 0.500 0.169  0.00
Si 0.500 0.500 0.831  0.00
Ni 0.000 0.500 0.313  0.08
Ni 0.500 0.000 0.313  0.08
Ni 0.000 0.500 0.687  0.08
Ni 0.500 0.000 0.687  0.08
Ni 0.500 0.500 0.500  0.12
Ni 0.000 0.000 0.500  0.41

Values from the calculation:
Formation energy without anion corrections, eV per atom: -0.396
Magnetic moment, Bohr magnetons per cell: 0.85
Calculated total energy, eV per atom: -5.985